DFT (PBE) results for a geometry-optimized La2AlGa6Pt structure.

M_tot ... 0.0 Bohr magnetons per cell
Calculated formation energy ... -0.484 eV per atom

Unit cell a=6.4087 b=6.4087 c=36.5591 alpha=90.00 beta=90.00 gamma=120.00
Space group R-3m (No. 166, hexagonal axes)
Inequivalent atoms, fractional coordinates:
La1 0.0000 0.0000 0.1348 x6
La2 0.0000 0.0000 0.3096 x6
Al1 0.0000 0.0000 0.0000 x3
Al2 0.0000 0.0000 0.5000 x3
Ga1 0.0422 0.5211 0.7212 x18
Ga2 0.0705 0.5353 0.8790 x18
Pt1 0.0000 0.0000 0.4258 x6